Density functional theory data (PBE) for crystalline SmCo3Ni2 at its relaxed geometry.

Geometry as extended XYZ:
```
6
Lattice="4.8864 0.0000 0.0000 0.0000 3.9936 0.0000 -2.4432 0.0000 4.2317" Properties=species:S:1:pos:R:3 pbc="T T T"
Co 2.4432 0.0000 0.0000
Co -1.2216 0.0000 2.1159
Co 1.2216 0.0000 2.1159
Ni 2.4432 1.9968 1.4106
Ni 0.0000 1.9968 2.8211
Sm 0.0000 1.9968 0.0000
```

SG   P6/mmm (191)
E_form   -0.1519 eV per atom